No. 1
# GGA-PBEsol Cu3TcN, relaxed
data_Cu3TcN
_space_group_name_H-M_alt 'P 1'
_space_group_IT_number 1
_cell_length_a 4.564
_cell_length_b 4.564
_cell_length_c 4.564
_cell_angle_alpha 90.00
_cell_angle_beta 90.00
_cell_angle_gamma 90.00
loop_
_space_group_symop_operation_xyz
'x,y,z'
loop_
_atom_site_label
_atom_site_type_symbol
_atom_site_fract_x
_atom_site_fract_y
_atom_site_fract_z
Tc1 Tc 0.000 0.000 0.000
Cu1 Cu 0.000 0.500 0.000
Cu2 Cu 0.000 0.000 0.500
Cu3 Cu 0.500 0.000 0.000
N1 N 0.500 0.500 0.500
# Energy relative to the lowest polymorph listed for this composition   9.733 eV/f.u.
# Calculated volume   19.02 Å³ per atom
# Raw formation energy   2625 meV/atom

No. 2
# GGA-PBEsol YZn5, relaxed
data_YZn5
_space_group_name_H-M_alt 'P 1'
_space_group_IT_number 1
_cell_length_a 4.140
_cell_length_b 5.209
_cell_length_c 5.209
_cell_angle_alpha 120.00
_cell_angle_beta 90.00
_cell_angle_gamma 90.00
loop_
_space_group_symop_operation_xyz
'x,y,z'
loop_
_atom_site_label
_atom_site_type_symbol
_atom_site_fract_x
_atom_site_fract_y
_atom_site_fract_z
Y1 Y 0.000 0.000 0.000
Zn1 Zn 0.000 0.667 0.333
Zn2 Zn 0.000 0.333 0.667
Zn3 Zn 0.500 0.500 0.500
Zn4 Zn 0.500 0.000 0.500
Zn5 Zn 0.500 0.500 0.000
# Calculated volume   16.21 Å³ per atom
# Energy relative to the elements   -0.3189 eV per atom

No. 3
# GGA-PBEsol AlGeW, relaxed
data_AlGeW
_space_group_name_H-M_alt 'P 1'
_space_group_IT_number 1
_cell_length_a 4.819
_cell_length_b 4.820
_cell_length_c 5.030
_cell_angle_alpha 76.15
_cell_angle_beta 61.38
_cell_angle_gamma 60.01
loop_
_space_group_symop_operation_xyz
'x,y,z'
loop_
_atom_site_label
_atom_site_type_symbol
_atom_site_fract_x
_atom_site_fract_y
_atom_site_fract_z
Ge1 Ge 0.901 0.198 0.500
Ge2 Ge 0.651 0.698 0.000
Al1 Al 0.976 0.049 0.000
Al2 Al 0.226 0.549 0.500
W1 W 0.313 0.373 0.000
W2 W 0.563 0.873 0.500
# Calculated volume   14.80 Å³ per atom
# Energy relative to the elements   -0.1146 eV per atom

No. 4
# GGA-PBEsol SrTeW, relaxed
data_SrTeW
_space_group_name_H-M_alt 'P 1'
_space_group_IT_number 1
_cell_length_a 3.496
_cell_length_b 3.496
_cell_length_c 6.463
_cell_angle_alpha 105.69
_cell_angle_beta 105.69
_cell_angle_gamma 90.00
loop_
_space_group_symop_operation_xyz
'x,y,z'
loop_
_atom_site_label
_atom_site_type_symbol
_atom_site_fract_x
_atom_site_fract_y
_atom_site_fract_z
Sr1 Sr 0.995 0.995 0.990
Te1 Te 0.703 0.703 0.407
W1 W 0.302 0.302 0.603
# Calculated volume   24.33 Å³ per atom
# Raw formation energy   296 meV/atom

No. 5
# GGA-PBEsol BeCO2, relaxed
data_BeCO2
_space_group_name_H-M_alt 'P 1'
_space_group_IT_number 1
_cell_length_a 2.361
_cell_length_b 2.361
_cell_length_c 6.386
_cell_angle_alpha 79.35
_cell_angle_beta 79.35
_cell_angle_gamma 60.00
loop_
_space_group_symop_operation_xyz
'x,y,z'
loop_
_atom_site_label
_atom_site_type_symbol
_atom_site_fract_x
_atom_site_fract_y
_atom_site_fract_z
Be1 Be 0.000 0.000 0.000
C1 C 0.500 0.500 0.500
O1 O 0.881 0.881 0.357
O2 O 0.119 0.119 0.643
# Energy relative to the lowest polymorph listed for this composition   4.035 eV/f.u.
# Calculated volume   7.53 Å³ per atom
# Raw formation energy   466 meV/atom

No. 6
# GGA-PBEsol BIr3Os, relaxed
data_BIr3Os
_space_group_name_H-M_alt 'P 1'
_space_group_IT_number 1
_cell_length_a 4.684
_cell_length_b 4.684
_cell_length_c 4.684
_cell_angle_alpha 90.00
_cell_angle_beta 90.00
_cell_angle_gamma 90.00
loop_
_space_group_symop_operation_xyz
'x,y,z'
loop_
_atom_site_label
_atom_site_type_symbol
_atom_site_fract_x
_atom_site_fract_y
_atom_site_fract_z
B1 B 0.500 0.500 0.500
Ir1 Ir 0.000 0.500 0.000
Ir2 Ir 0.000 0.000 0.500
Ir3 Ir 0.500 0.000 0.000
Os1 Os 0.000 0.000 0.000
# Calculated volume   20.55 Å³ per atom
# Energy relative to the elements   2.8531 eV per atom

no.,uncorrected energy (eV per atom)
1,-3.934
2,-2.774
3,-7.727
4,-6.095
5,-5.569
6,-6.887